[1]
# PBE-GGA BaMgGe2Ir, relaxed
data_BaMgGe2Ir
_space_group_name_H-M_alt 'P 1'
_space_group_IT_number 1
_space_group_name_Hall 'P 1'
_cell_length_a 6.8574
_cell_length_b 6.8574
_cell_length_c 6.8574
_cell_angle_alpha 143.35
_cell_angle_beta 143.35
_cell_angle_gamma 52.79
loop_
_atom_site_label
_atom_site_fract_x
_atom_site_fract_y
_atom_site_fract_z
Ba1 0.0000 0.0000 0.0000
Mg1 0.2500 0.7500 0.5000
Ge1 0.3667 0.3667 0.0000
Ge2 0.6333 0.6333 0.0000
Ir1 0.7500 0.2500 0.5000
# - space-group type = I-4m2 (119)
# - E_tot (eV per atom) = -4.734

[2]
# PBE-GGA CoCuSnS3, relaxed
data_CoCuSnS3
_space_group_name_H-M_alt 'P 1'
_space_group_IT_number 1
_space_group_name_Hall 'P 1'
_cell_length_a 7.2163
_cell_length_b 7.2163
_cell_length_c 8.9410
_cell_angle_alpha 90.00
_cell_angle_beta 90.00
_cell_angle_gamma 151.90
loop_
_atom_site_label
_atom_site_fract_x
_atom_site_fract_y
_atom_site_fract_z
Co1 0.0000 0.0000 0.0000
Co2 0.0000 0.0000 0.5000
Cu1 0.3292 0.6708 0.7500
Cu2 0.6708 0.3292 0.2500
Sn1 0.3198 0.6802 0.2500
Sn2 0.6802 0.3198 0.7500
S1 0.0444 0.9556 0.7500
S2 0.3955 0.6045 0.5286
S3 0.3955 0.6045 0.9714
S4 0.6045 0.3955 0.0286
S5 0.6045 0.3955 0.4714
S6 0.9556 0.0444 0.2500
# - space-group type = Cmcm (63)
# - E_tot (eV per atom) = -4.814